## Ni7Rh (SCAN)

Data for a PBEsol-optimized structure of Ni7Rh.

extended XYZ file:
```
8
Lattice="4.9669 0.0000 0.0000 2.4835 4.3015 0.0000 2.4835 1.4338 4.0555" Properties=species:S:1:pos:R:3 pbc="T T T"
Ni 2.4835 0.0000 0.0000
Ni 3.7252 2.1507 0.0000
Ni 1.2417 2.1507 0.0000
Ni 3.7252 0.7169 2.0277
Ni 1.2417 0.7169 2.0277
Ni 2.4835 2.8676 2.0277
Ni 4.9669 2.8676 2.0277
Rh 0.0000 0.0000 0.0000
```

Values from the calculation:
Theoretical density, g/cm³: 9.8
DOS at the Fermi energy, states/eV per atom: 0.999
ΔH_f (0 K), meV/atom: 13
Total magnetic moment, μB/f.u.: 6.21